Entry 1:
## Ta2FeCl (PBE)

Data for Ta2FeCl after structural relaxation.

Computed properties:
ρ in Mg/m³: 11.9
Relative energy among the computed polymorphs in eV/atom: 0.3742
Total magnetization in μB/cell: 1.6
E in eV per atom: -8.134

Cell lengths 4.553, 2.866, 4.999 Å; angles 76.52, 90.00, 90.00 degrees
Atoms (fractional coordinates):
Ta 0.000 0.938 0.975
Fe 0.500 0.640 0.770
Ta 0.500 0.196 0.257
Cl 0.000 0.726 0.499

***

Entry 2:
## TaFeCl (PBE)

Data for TaFeCl after structural relaxation.

Computed properties:
ρ in Mg/m³: 8.2
Relative energy among the computed polymorphs in eV/atom: 0.1625
Total magnetization in μB/cell: 2.1
E in eV per atom: -7.209

Cell lengths 7.127, 6.911, 2.967 Å; angles 81.90, 73.75, 24.34 degrees
Atoms (fractional coordinates):
Cl 0.024 0.024 0.976
Fe 0.304 0.304 0.696
Ta 0.672 0.672 0.328

***

Entry 3:
## Ta3FeCl (PBE)

Data for Ta3FeCl after structural relaxation.

Computed properties:
ρ in Mg/m³: 11.8
Relative energy among the computed polymorphs in eV/atom: 0.2181
Total magnetization in μB/cell: 0.0
E in eV per atom: -7.935

Cell lengths 4.466, 4.466, 4.466 Å; angles 90.00, 90.00, 90.00 degrees
Atoms (fractional coordinates):
Ta 0.000 0.000 0.500
Ta 0.000 0.500 0.000
Cl 0.000 0.000 0.000
Fe 0.500 0.500 0.500
Ta 0.500 0.000 0.000

***

Entry 4:
## Ta2FeCl (PBE)

Data for Ta2FeCl after structural relaxation.

Computed properties:
ρ in Mg/m³: 11.2
Relative energy among the computed polymorphs in eV/atom: 0.0000
Total magnetization in μB/cell: 1.2
E in eV per atom: -8.508

Cell lengths 2.991, 3.005, 7.469 Å; angles 90.00, 90.00, 90.00 degrees
Atoms (fractional coordinates):
Fe 0.500 0.750 0.750
Ta 0.000 0.250 0.545
Cl 0.500 0.250 0.250
Ta 0.000 0.250 0.955

***

Entry 5:
## TaFeCl2 (PBE)

Data for TaFeCl2 after structural relaxation.

Computed properties:
ρ in Mg/m³: 6.1
Relative energy among the computed polymorphs in eV/atom: 0.6682
Total magnetization in μB/cell: 1.9
E in eV per atom: -5.812

Cell lengths 6.551, 6.551, 6.551 Å; angles 153.30, 137.99, 50.48 degrees
Atoms (fractional coordinates):
Cl 0.069 0.069 0.000
Ta 0.253 0.753 0.500
Fe 0.415 0.415 0.000
Cl 0.763 0.263 0.500

***

Entry 6:
## Ta3FeCl (PBE)

Data for Ta3FeCl after structural relaxation.

Computed properties:
ρ in Mg/m³: 10.5
Relative energy among the computed polymorphs in eV/atom: 0.0000
Total magnetization in μB/cell: 0.0
E in eV per atom: -8.154

Cell lengths 4.651, 4.651, 4.651 Å; angles 90.00, 90.00, 90.00 degrees
Atoms (fractional coordinates):
Ta 0.000 0.000 0.500
Fe 0.000 0.000 0.000
Ta 0.000 0.500 0.000
Cl 0.500 0.500 0.500
Ta 0.500 0.000 0.000